Entry 1:
# LiPr3Dy3S8

LiPr3Dy3S8 after structural relaxation (PBE, Alexandria).

## Properties
**Final energy**: -6.187 eV/atom
**Symmetry**: R-3m, No. 166

Unit cell a=7.9161 b=7.9162 c=7.9897 alpha=119.70 beta=90.00 gamma=120.00
Fractional coordinates of all 15 atoms:
S1 0.7565 0.5130 0.2670
S2 0.7459 0.9895 0.7330
S3 0.2435 0.4870 0.7330
S4 0.2541 0.0105 0.2670
S5 0.7449 0.4897 0.7346
S6 0.2436 0.9895 0.7330
S7 0.7564 0.0105 0.2670
S8 0.2551 0.5103 0.2654
Pr1 0.5000 0.5000 0.0000
Pr2 0.0000 0.0000 0.0000
Pr3 0.0000 0.5000 0.0000
Dy1 0.0000 0.5000 0.5000
Dy2 0.5000 0.5000 0.5000
Dy3 0.5000 0.0000 0.5000
Li1 0.0000 0.0000 0.5000

Entry 2:
# In2SnBi3

In2SnBi3 after structural relaxation (PBE, Alexandria).

## Properties
**Final energy**: -3.473 eV/atom
**Energy of formation from the pure elements**: 47 meV/atom
**Symmetry**: P2_1/m, No. 11

Unit cell a=5.6793 b=7.1669 c=13.1696 alpha=43.55 beta=90.00 gamma=90.00
Fractional coordinates of all 12 atoms:
Bi1 0.7500 0.5697 0.3378
Bi2 0.2500 0.4303 0.6622
Bi3 0.2500 0.2199 0.5071
Bi4 0.2500 0.9188 0.1596
Bi5 0.7500 0.0812 0.8404
Bi6 0.7500 0.7801 0.4929
In1 0.7500 0.8903 0.6871
In2 0.7500 0.2583 0.0017
In3 0.2500 0.7417 0.9983
In4 0.2500 0.1097 0.3129
Sn1 0.7500 0.4259 0.1602
Sn2 0.2500 0.5741 0.8398

Entry 3:
# AcTeO6

AcTeO6 after structural relaxation (PBE, Alexandria).

## Properties
**Final energy**: -5.901 eV/atom
**Symmetry**: R-3m, No. 166

Unit cell a=4.8298 b=4.8298 c=4.8298 alpha=96.29 beta=96.29 gamma=96.29
Site moments in Bohr magnetons follow the coordinates.
Fractional coordinates of all 8 atoms:
O1 0.7866 0.4233 0.7866  0.43
O2 0.7866 0.7866 0.4233  0.43
O3 0.2134 0.5767 0.2134  0.43
O4 0.2134 0.2134 0.5767  0.43
O5 0.4233 0.7866 0.7866  0.43
O6 0.5767 0.2134 0.2134  0.43
Te1 0.5000 0.5000 0.5000  -0.05
Ac1 0.0000 0.0000 0.0000  -0.01

Entry 4:
# ReNi2BSb

ReNi2BSb after structural relaxation (PBE, Alexandria).

## Properties
**Final energy**: -6.225 eV/atom
**Symmetry**: P4/mmm, No. 123

Unit cell a=3.8438 b=4.6976 c=3.8438 alpha=90.00 beta=90.00 gamma=90.00
Fractional coordinates of all 5 atoms:
Re1 0.5000 0.5000 0.5000
Ni1 0.5000 0.0000 0.0000
Ni2 0.0000 0.0000 0.5000
B1 0.0000 0.0000 0.0000
Sb1 0.0000 0.5000 0.0000

Entry 5:
# AlInRuPt

AlInRuPt after structural relaxation (PBE, Alexandria).

## Properties
**Final energy**: -5.891 eV/atom
**Energy of formation from the pure elements**: -441 meV/atom
**Symmetry**: F-43m, No. 216

Unit cell a=4.4637 b=4.4637 c=4.4637 alpha=60.00 beta=60.00 gamma=60.00
Fractional coordinates of all 4 atoms:
In1 0.0000 0.0000 0.0000
Al1 0.5000 0.5000 0.5000
Pt1 0.7500 0.7500 0.7500
Ru1 0.2500 0.2500 0.2500

Entry 6:
# Rb2In2Hg

Rb2In2Hg after structural relaxation (PBE, Alexandria).

## Properties
**Final energy**: -1.467 eV/atom
**Energy of formation from the pure elements**: 76 meV/atom
**Polymorph energy (0 for the lowest one)**: 0.718 eV per formula unit
**Symmetry**: P4/mbm, No. 127

Unit cell a=11.2375 b=11.2375 c=3.5431 alpha=90.00 beta=90.00 gamma=90.00
Fractional coordinates of all 10 atoms:
In1 0.5910 0.9090 0.5000
In2 0.0910 0.5910 0.5000
In3 0.4090 0.0910 0.5000
In4 0.9090 0.4090 0.5000
Hg1 0.0000 0.0000 0.0000
Hg2 0.5000 0.5000 0.0000
Rb1 0.3001 0.8001 0.0000
Rb2 0.6999 0.1999 0.0000
Rb3 0.8001 0.6999 0.0000
Rb4 0.1999 0.3001 0.0000

Entry 7:
# CrSiP2

CrSiP2 after structural relaxation (PBE, Alexandria).

## Properties
**Final energy**: -6.201 eV/atom
**Symmetry**: Cmm2, No. 35

Unit cell a=2.6327 b=2.6327 c=8.9791 alpha=90.00 beta=90.00 gamma=96.02
Site moments in Bohr magnetons follow the coordinates.
Fractional coordinates of all 4 atoms:
P1 0.0000 0.0000 0.9108  -0.03
P2 0.5000 0.5000 0.3231  -0.01
Si1 0.0000 0.0000 0.5351  -0.02
Cr1 0.5000 0.5000 0.7310  0.91

Entry 8:
# La8Er6In

La8Er6In after structural relaxation (PBE, Alexandria).

## Properties
**Final energy**: -4.564 eV/atom
**Energy of formation from the pure elements**: 71 meV/atom
**Symmetry**: P-3, No. 147

Unit cell a=6.7258 b=9.2932 c=9.2932 alpha=120.00 beta=90.00 gamma=90.00
Fractional coordinates of all 15 atoms:
La1 0.1723 0.2813 0.2324
La2 0.1723 0.7676 0.0490
La3 0.8277 0.0490 0.2813
La4 0.8714 0.3333 0.6667
La5 0.1723 0.9510 0.7187
La6 0.1286 0.6667 0.3333
La7 0.8277 0.7187 0.7676
La8 0.8277 0.2324 0.9510
Er1 0.6510 0.8976 0.5564
Er2 0.3490 0.3412 0.8976
Er3 0.3490 0.5564 0.6588
Er4 0.6510 0.4436 0.3412
Er5 0.3490 0.1024 0.4436
Er6 0.6510 0.6588 0.1024
In1 0.5000 0.0000 0.0000